## Cs3NaAg2Bi2 (PBE)

Data for a relaxed Cs3NaAg2Bi2 crystal.

a b c (Å): 7.098 6.482 7.345
angles (deg): 90.00 102.91 90.00
Element x y z (fractional)
1 Cs 0.000 0.000 0.000
2 Cs 0.088 0.500 0.359
3 Cs 0.721 0.500 0.693
4 Na 0.399 0.000 0.714
5 Ag 0.530 0.259 0.158
6 Ag 0.530 0.741 0.158
7 Bi 0.276 0.500 0.889
8 Bi 0.738 0.000 0.436

Summary:
crystal system: monoclinic
energy: -2.494 eV per atom